A relaxed structure of TcPd2RuAu, computed with GGA-PBE.

Lattice parameters (Å, degrees): 4.688 4.997 4.688 90.00 90.00 90.00
Site moments in Bohr magnetons follow the coordinates.
Fractional coordinates of all 5 atoms:
Au (0.000, 0.500, 0.000)  0.04
Tc (0.000, 0.000, 0.000)  0.30
Pd (0.000, 0.000, 0.500)  -0.08
Pd (0.500, 0.000, 0.000)  0.02
Ru (0.500, 0.500, 0.500)  2.36

Summary:
The calculation puts the calculated formation energy at 1.71 eV per atom. Its symmetry is P4/mmm (123). The density is 9209 kg/m³. For the density of states at the Fermi level, the calculation gives 7.23 states/eV/f.u.